(1)
Here is an optimized crystal structure of HfSb2IO from the Alexandria database. Energies are from PBE-GGA.

Properties
The energy relative to the elements, uncorrected is 8.7 eV/f.u. The calculation puts the electronic total energy at -16.042 eV per formula unit.

CIF file:
```
data_HfSb2IO
_chemical_formula_sum 'Hf1 Sb2 I1 O1'
_cell_length_a 5.785
_cell_length_b 5.785
_cell_length_c 5.216
_cell_angle_alpha 90.00
_cell_angle_beta 90.00
_cell_angle_gamma 90.00
_symmetry_space_group_name_H-M 'P 4/m m m'
_symmetry_Int_Tables_number 123
_symmetry_space_group_name_Hall '-P 4 2'
loop_
_atom_site_label
_atom_site_type_symbol
_atom_site_fract_x
_atom_site_fract_y
_atom_site_fract_z
Hf1 Hf 0.000 0.000 0.000
Sb1 Sb 0.000 0.500 0.500
I1 I 0.000 0.000 0.500
O1 O 0.500 0.500 0.000
```

---

(2)
Here is an optimized crystal structure of HfSb2IO from the Alexandria database. Energies are from PBE-GGA.

Properties
The energy relative to the elements, uncorrected is 3.3 eV/f.u. The calculation puts the electronic total energy at -21.436 eV per formula unit.

CIF file:
```
data_HfSb2IO
_chemical_formula_sum 'Hf1 Sb2 I1 O1'
_cell_length_a 5.526
_cell_length_b 5.526
_cell_length_c 5.448
_cell_angle_alpha 90.00
_cell_angle_beta 90.00
_cell_angle_gamma 90.00
_symmetry_space_group_name_H-M 'P 4/m m m'
_symmetry_Int_Tables_number 123
_symmetry_space_group_name_Hall '-P 4 2'
loop_
_atom_site_label
_atom_site_type_symbol
_atom_site_fract_x
_atom_site_fract_y
_atom_site_fract_z
Hf1 Hf 0.000 0.000 0.000
Sb1 Sb 0.000 0.500 0.000
I1 I 0.000 0.000 0.500
O1 O 0.500 0.500 0.500
```